No. 1
Cr2AsPb: relaxed, GGA-PBE.

The structure in POSCAR format:
```
Cr2AsPb
1.0
3.264 0.000 0.000
0.000 3.264 0.000
0.000 0.000 7.323
As Cr Pb
1 2 1
Cartesian
1.632 1.632 5.492
0.000 0.000 6.919
0.000 0.000 4.065
1.632 1.632 1.831
```

Summary:
Energy of formation from the pure elements: 0.378 eV/atom
Total magnetization: 7.3 μB/cell



No. 2
Rb2SnTeS: relaxed, GGA-PBE.

The structure in POSCAR format:
```
Rb2SnTeS
1.0
4.573 0.000 0.000
0.000 9.275 0.688
0.000 -3.095 9.681
Rb Sn Te S
4 2 2 2
Cartesian
3.429 4.708 6.383
3.429 7.698 1.596
1.143 1.472 3.986
1.143 -1.518 8.772
1.143 2.042 8.825
3.429 4.139 1.544
1.143 5.065 3.407
3.429 1.115 6.961
1.143 4.519 8.775
3.429 1.661 1.593
```

Summary:
E_form (uncorrected): -0.844 eV per atom
Total magnetization: 0.0 μB/cell



No. 3
Mo3Pt: relaxed, GGA-PBE.

The structure in POSCAR format:
```
Mo3Pt
1.0
4.492 0.000 0.000
0.000 4.963 0.000
0.000 0.000 5.648
Mo Pt
6 2
Cartesian
2.246 3.322 0.000
0.000 4.178 1.359
2.246 0.785 1.465
0.000 1.641 2.824
0.000 4.178 4.289
2.246 0.785 4.183
0.000 1.649 0.000
2.246 3.314 2.824
```

Summary:
Energy of formation from the pure elements: -0.058 eV/atom
Total magnetization: 0.0 μB/cell



Question: What is the formula in the third record?
Answer: Mo3Pt



Question: The highest total magnetization belongs to which entry?
Answer: Cr2AsPb